Rb4Dy3TiSe8 | PBE | relaxed

abc: 9.312 9.312 9.312
angles: 53.09 53.09 53.09
Fractional positions:
Rb: 0.000 0.000 0.000
Rb: 0.000 0.500 0.500
Rb: 0.500 0.000 0.500
Rb: 0.500 0.500 0.000
Dy: 0.000 0.000 0.500
Dy: 0.000 0.500 0.000
Dy: 0.500 0.000 0.000
Ti: 0.500 0.500 0.500
Se: 0.233 0.233 0.233
Se: 0.247 0.721 0.721
Se: 0.279 0.279 0.753
Se: 0.279 0.753 0.279
Se: 0.721 0.247 0.721
Se: 0.721 0.721 0.247
Se: 0.753 0.279 0.279
Se: 0.767 0.767 0.767

Values from the calculation:
DOS(E_F) in states/eV/cell: 5.6
Space-group type: R-3m, No. 166
E in eV per atom: -4.90
Density in kg/m³: 5237
Uncorrected formation energy in meV/atom: -1563


Rb3Dy3TiSe8 | PBE | relaxed

abc: 9.445 9.445 9.445
angles: 51.41 51.41 51.41
Fractional positions:
Rb: 0.000 0.500 0.500
Rb: 0.500 0.000 0.500
Rb: 0.500 0.500 0.000
Dy: 0.000 0.000 0.500
Dy: 0.000 0.500 0.000
Dy: 0.500 0.000 0.000
Ti: 0.500 0.500 0.500
Se: 0.232 0.232 0.232
Se: 0.253 0.715 0.715
Se: 0.285 0.285 0.747
Se: 0.285 0.747 0.285
Se: 0.715 0.253 0.715
Se: 0.715 0.715 0.253
Se: 0.747 0.285 0.285
Se: 0.768 0.768 0.768

Values from the calculation:
Space-group type: R-3m, No. 166
E in eV per atom: -5.08
Density in kg/m³: 4973
Uncorrected formation energy in meV/atom: -1585


Rb3Dy2TiSe6 | PBE | relaxed

abc: 7.163 7.163 8.318
angles: 98.29 98.29 119.99
Fractional positions:
Rb: 0.000 0.000 0.000
Rb: 0.329 0.671 0.000
Rb: 0.671 0.329 0.000
Dy: 0.166 0.834 0.500
Dy: 0.834 0.166 0.500
Ti: 0.500 0.500 0.500
Se: 0.122 0.437 0.310
Se: 0.249 0.249 0.692
Se: 0.437 0.122 0.310
Se: 0.563 0.878 0.690
Se: 0.751 0.751 0.308
Se: 0.878 0.563 0.690

Values from the calculation:
DOS(E_F) in states/eV/cell: 5.7
Space-group type: C2/m, No. 12
E in eV per atom: -4.92
Density in kg/m³: 5175
Uncorrected formation energy in meV/atom: -1509


Rb3DyTm3Se8 | PBE | relaxed

abc: 9.467 9.467 9.467
angles: 51.64 51.64 51.64
Fractional positions:
Rb: 0.000 0.500 0.500
Rb: 0.500 0.000 0.500
Rb: 0.500 0.500 0.000
Dy: 0.500 0.500 0.500
Tm: 0.000 0.000 0.500
Tm: 0.000 0.500 0.000
Tm: 0.500 0.000 0.000
Se: 0.227 0.733 0.733
Se: 0.231 0.231 0.231
Se: 0.267 0.267 0.773
Se: 0.267 0.773 0.267
Se: 0.733 0.227 0.733
Se: 0.733 0.733 0.227
Se: 0.769 0.769 0.769
Se: 0.773 0.267 0.267

Values from the calculation:
DOS(E_F) in states/eV/cell: 8.4
Space-group type: R-3m, No. 166
E in eV per atom: -4.92
Density in kg/m³: 5366
Uncorrected formation energy in meV/atom: -1662


RbDy4TmSe8 | PBE | relaxed

abc: 8.591 8.591 8.591
angles: 60.43 60.43 60.43
Fractional positions:
Rb: 0.000 0.000 0.000
Dy: 0.108 0.628 0.628
Dy: 0.247 0.247 0.247
Dy: 0.628 0.108 0.628
Dy: 0.628 0.628 0.108
Tm: 0.627 0.627 0.627
Se: 0.380 0.380 0.380
Se: 0.381 0.381 0.850
Se: 0.381 0.850 0.381
Se: 0.427 0.852 0.852
Se: 0.850 0.381 0.381
Se: 0.852 0.427 0.852
Se: 0.852 0.852 0.427
Se: 0.856 0.856 0.856

Values from the calculation:
DOS(E_F) in states/eV/cell: 0.0
Space-group type: R3m, No. 160
E in eV per atom: -5.41
Density in kg/m³: 5633
Uncorrected formation energy in meV/atom: -1714


Rb3DyTm2Se6 | PBE | relaxed

abc: 7.289 7.289 8.349
angles: 98.37 98.37 120.00
Fractional positions:
Rb: 0.000 0.000 0.000
Rb: 0.334 0.666 0.000
Rb: 0.666 0.334 0.000
Dy: 0.500 0.500 0.500
Tm: 0.167 0.833 0.500
Tm: 0.833 0.167 0.500
Se: 0.099 0.435 0.306
Se: 0.228 0.228 0.694
Se: 0.435 0.099 0.306
Se: 0.565 0.901 0.694
Se: 0.772 0.772 0.306
Se: 0.901 0.565 0.694

Values from the calculation:
DOS(E_F) in states/eV/cell: 0.0
Space-group type: C2/m, No. 12
E in eV per atom: -4.84
Density in kg/m³: 5561
Uncorrected formation energy in meV/atom: -1729


RbDyTm4Se8 | PBE | relaxed

abc: 8.593 8.593 8.593
angles: 59.56 59.56 59.56
Fractional positions:
Rb: 0.000 0.000 0.000
Dy: 0.367 0.367 0.367
Tm: 0.368 0.368 0.887
Tm: 0.368 0.887 0.368
Tm: 0.747 0.747 0.747
Tm: 0.887 0.368 0.368
Se: 0.138 0.138 0.570
Se: 0.138 0.570 0.138
Se: 0.142 0.142 0.142
Se: 0.144 0.616 0.616
Se: 0.570 0.138 0.138
Se: 0.615 0.615 0.615
Se: 0.616 0.144 0.616
Se: 0.616 0.616 0.144

Values from the calculation:
DOS(E_F) in states/eV/cell: 0.0
Space-group type: R3m, No. 160
E in eV per atom: -5.36
Density in kg/m³: 5815
Uncorrected formation energy in meV/atom: -1696


Rb3Dy2TmSe6 | PBE | relaxed

abc: 7.317 7.317 8.356
angles: 98.39 98.39 120.00
Fractional positions:
Rb: 0.000 0.000 0.000
Rb: 0.333 0.667 0.000
Rb: 0.667 0.333 0.000
Dy: 0.167 0.833 0.500
Dy: 0.833 0.167 0.500
Tm: 0.500 0.500 0.500
Se: 0.105 0.435 0.305
Se: 0.235 0.235 0.695
Se: 0.435 0.105 0.305
Se: 0.565 0.895 0.695
Se: 0.765 0.765 0.305
Se: 0.895 0.565 0.695

Values from the calculation:
DOS(E_F) in states/eV/cell: 0.0
Space-group type: C2/m, No. 12
E in eV per atom: -4.86
Density in kg/m³: 5485
Uncorrected formation energy in meV/atom: -1734